1.
ZnRh2Au PBE-GGA relaxed; formation energy from the elements = -0.064 eV per atom; VASP energy = -19.5 eV per cell; total magnetization = 1.2 μB per formula unit
1.0
4.706 0.434 -0.635
2.729 3.859 -0.635
1.991 1.149 3.219
Rh Au Zn
2 1 1
Cartesian
2.356 1.360 0.487
1.991 1.150 3.219
4.713 2.721 0.974
7.069 4.081 1.461

=====

2.
BaSn6Se8 PBE-GGA relaxed; energy relative to the lowest polymorph listed for this composition = 49 meV per atom; E_form (uncorrected) = -0.5098 eV/atom; VASP energy = -61.5 eV per cell; total magnetization = 0.0 μB per formula unit
1.0
-1.916 -3.092 -6.909
5.255 -5.712 0.853
-5.300 -4.677 3.317
Se Sn Ba
8 6 1
Cartesian
-0.034 -5.029 -4.752
-1.927 -8.451 2.013
-3.880 -6.950 -3.980
1.919 -6.531 1.241
-0.513 -3.524 -0.716
-1.449 -9.957 -2.023
-4.349 -5.381 0.069
2.388 -8.100 -2.808
-0.013 -8.723 0.054
-1.712 -5.530 0.843
-0.249 -7.950 -3.582
-3.318 -7.933 -1.471
-1.948 -4.757 -2.793
1.357 -5.548 -1.268
0.000 0.000 0.000

=====

3.
YSi2IrF PBE-GGA relaxed; E_form (uncorrected) = -0.4063 eV/atom; VASP energy = -30.1 eV per cell; total magnetization = 0.0 μB per formula unit
1.0
-1.315 -3.416 -2.733
3.465 -2.621 1.609
-2.732 -1.587 3.298
F Si Ir Y
1 2 1 1
Cartesian
1.732 -1.310 0.804
-0.657 -1.708 -1.366
-1.366 -0.793 1.649
0.000 0.000 0.000
-0.291 -3.812 1.087

=====

4.
Nd3Zn3Ge PBE-GGA relaxed; formation energy from the elements = -0.427 eV per atom; VASP energy = -25.7 eV per cell; total magnetization = 0.0 μB per formula unit
1.0
4.185 0.000 -0.913
-0.202 3.995 -0.928
0.035 0.262 10.207
Nd Zn Ge
3 3 1
Cartesian
3.991 4.228 8.246
1.180 3.426 5.407
2.859 0.855 3.058
2.258 2.294 0.299
3.555 1.631 6.245
0.456 2.619 2.090
1.771 1.976 8.118

=====

5.
Ta5Sb4 PBE-GGA relaxed; energy relative to the lowest polymorph listed for this composition = 0 meV per atom; E_form (uncorrected) = -0.1664 eV/atom; VASP energy = -77.2 eV per cell; total magnetization = 0.0 μB per formula unit
1.0
-4.499 4.536 3.997
2.074 -6.754 -2.623
5.452 0.124 5.202
Sb Ta
4 5
Cartesian
5.345 -4.423 2.294
2.353 -3.130 3.716
0.675 1.036 2.861
-2.318 2.329 4.283
5.030 -2.711 4.499
0.000 0.000 0.000
0.320 -1.750 2.355
2.708 -0.344 4.222
-2.003 0.617 2.078

=====

6.
LiTiSb2 PBE-GGA relaxed; energy relative to the lowest polymorph listed for this composition = 32 meV per atom; E_form (uncorrected) = -0.3238 eV/atom; VASP energy = -19.3 eV per cell; total magnetization = 0.8 μB per formula unit
1.0
3.617 0.000 0.000
0.000 3.617 0.000
0.000 0.000 6.404
Ti Sb Li
1 2 1
Cartesian
1.808 1.808 0.000
0.000 0.000 4.888
0.000 0.000 1.516
1.808 1.808 3.202

=====

7.
BaBe2I PBE-GGA relaxed; energy relative to the lowest polymorph listed for this composition = 111 meV per atom; E_form (uncorrected) = 0.7421 eV/atom; VASP energy = -8.0 eV per cell; total magnetization = 0.0 μB per formula unit
1.0
0.334 -1.938 4.989
0.029 3.355 4.183
-4.247 0.253 3.264
Be Ba I
2 1 1
Cartesian
-0.971 0.418 3.109
-2.914 1.253 9.328
-1.942 0.835 6.218
0.000 0.000 0.000

=====

8.
Ir2W3 PBE-GGA relaxed; energy relative to the lowest polymorph listed for this composition = 32 meV per atom; formation energy from the elements = 0.011 eV per atom; VASP energy = -56.5 eV per cell; total magnetization = 0.0 μB per formula unit
1.0
11.512 -1.400 -0.011
11.512 1.400 -0.011
11.344 0.000 2.408
W Ir
3 2
Cartesian
0.000 0.000 0.000
6.964 0.000 0.483
27.404 0.000 1.902
13.720 0.000 0.952
20.648 0.000 1.433

=====

9.
Tb3Ho5Tm3 PBE-GGA relaxed; formation energy from the elements = 0.358 eV per atom; VASP energy = -46.3 eV per cell; total magnetization = 0.0 μB per formula unit
1.0
-2.033 -2.482 1.124
8.384 -7.120 -0.562
-1.798 5.669 9.270
Tm Ho Tb
3 5 3
Cartesian
-1.067 3.364 5.501
2.677 -0.590 3.540
4.975 -4.225 -0.333
3.973 -4.098 3.277
0.579 0.165 6.554
6.025 -7.221 0.090
0.038 -1.473 1.956
-2.527 3.520 8.348
1.841 -3.668 0.370
-1.629 0.691 3.721
3.324 -2.198 6.301

=====

10.
MgVCr2Ni PBE-GGA relaxed; energy relative to the lowest polymorph listed for this composition = 660 meV per atom; formation energy from the elements = 1.554 eV per atom; VASP energy = -28.0 eV per cell; total magnetization = 4.9 μB per formula unit
1.0
-0.961 -2.925 3.517
4.118 -0.904 0.373
0.493 3.506 3.051
Cr V Ni Mg
2 1 1 1
Cartesian
-0.480 -1.463 1.758
0.247 1.753 1.526
1.825 -0.161 3.471
2.059 -0.452 0.187
0.000 0.000 0.000

=====

11.
Li2Nd2AlO6 PBE-GGA relaxed; E_form (uncorrected) = -2.4373 eV/atom; VASP energy = -73.7 eV per cell; total magnetization = 0.9 μB per formula unit
1.0
-5.363 0.176 1.390
-3.430 -4.022 -1.670
-1.984 -3.737 3.872
Li Nd O Al
2 2 6 1
Cartesian
-5.189 -4.309 2.632
-5.588 -3.273 0.960
-8.168 -5.466 2.338
-2.609 -2.116 1.254
-3.559 -3.699 2.826
-5.426 -5.889 1.917
-7.218 -3.882 0.766
-5.351 -1.693 1.675
-4.298 -3.978 0.009
-6.479 -3.603 3.583
0.000 0.000 0.000

=====

12.
Ti2GaWS PBE-GGA relaxed; E_form (uncorrected) = 0.8184 eV/atom; VASP energy = -31.8 eV per cell; total magnetization = 0.0 μB per formula unit
1.0
-0.201 4.482 -1.629
-4.548 -0.779 -1.583
-1.714 1.453 4.211
S Ti W Ga
1 2 1 1
Cartesian
-3.231 2.578 0.500
-0.857 0.727 2.105
-0.100 2.241 -0.814
0.000 0.000 0.000
-2.274 -0.389 -0.791

=====

13.
Sb4PtCl PBE-GGA relaxed; E_form (uncorrected) = 0.5285 eV/atom; VASP energy = -21.2 eV per cell; total magnetization = 0.0 μB per formula unit
1.0
0.000 4.307 4.307
4.307 0.000 4.307
4.307 4.307 0.000
Cl Sb Pt
1 4 1
Cartesian
6.460 6.460 6.460
3.253 3.253 3.253
5.361 5.361 3.253
5.361 3.253 5.361
3.253 5.361 5.361
0.000 0.000 0.000

=====

14.
POsIO2 PBE-GGA relaxed; energy relative to the lowest polymorph listed for this composition = 1250 meV per atom; E_form (uncorrected) = 1.0014 eV/atom; VASP energy = -23.1 eV per cell; total magnetization = 2.3 μB per formula unit
1.0
3.841 0.000 0.000
0.000 3.841 0.000
0.000 0.000 5.933
Os O P I
1 2 1 1
Cartesian
1.920 1.920 2.967
0.000 1.920 0.000
1.920 0.000 0.000
0.000 0.000 2.967
0.000 0.000 0.000

=====

15.
Sc2SbPd PBE-GGA relaxed; E_form (uncorrected) = -0.1450 eV/atom; VASP energy = -45.1 eV per cell; total magnetization = 0.0 μB per formula unit
1.0
6.345 0.000 0.000
0.000 6.345 0.000
3.172 3.172 6.204
Sc Sb Pd
4 2 2
Cartesian
1.774 4.759 1.551
7.931 7.743 4.653
4.759 4.947 4.653
4.571 1.586 1.551
0.000 0.000 0.000
6.345 3.172 3.102
3.172 6.345 3.102
3.172 3.172 0.000

=====

16.
InSb2AuI PBE-GGA relaxed; energy relative to the lowest polymorph listed for this composition = 450 meV per atom; E_form (uncorrected) = 0.8439 eV/atom; VASP energy = -11.6 eV per cell; total magnetization = 0.7 μB per formula unit
1.0
-4.887 2.877 0.272
-0.656 -0.585 -5.610
-2.851 -4.923 0.847
Sb I Au In
2 1 1 1
Cartesian
-0.328 -0.293 -2.805
-2.444 1.439 0.136
-1.425 -2.461 0.424
-4.197 -1.315 -2.245
0.000 0.000 0.000

=====

17.
NdH2Rh PBE-GGA relaxed; energy relative to the lowest polymorph listed for this composition = 389 meV per atom; VASP energy = -19.6 eV per cell; total magnetization = 0.0 μB per formula unit
1.0
-3.047 1.323 -1.642
-2.927 -2.210 -0.531
-3.513 0.825 3.003
H Rh Nd
2 1 1
Cartesian
-7.297 0.088 1.069
-2.189 -0.150 -0.239
0.000 0.000 0.000
-4.743 -0.031 0.415

=====

18.
HfBeRe PBE-GGA relaxed; energy relative to the lowest polymorph listed for this composition = 0 meV per atom; formation energy from the elements = -0.316 eV per atom; VASP energy = -54.2 eV per cell; total magnetization = 0.0 μB per formula unit
1.0
4.369 0.000 2.453
1.555 4.161 2.349
0.052 0.053 5.024
Re Be Hf
2 2 2
Cartesian
2.962 2.081 2.401
2.211 0.027 3.739
2.185 0.000 1.227
0.000 0.000 0.000
4.422 1.587 4.919
1.555 2.628 4.907

=====

19.
CrCd2C PBE-GGA relaxed; formation energy from the elements = 0.789 eV per atom; VASP energy = -35.0 eV per cell; total magnetization = 2.9 μB per formula unit
1.0
-8.019 -2.891 1.353
1.560 -0.356 8.482
-3.864 0.226 5.112
Cr C Cd
2 2 4
Cartesian
0.000 0.000 0.000
-7.557 -2.145 5.691
-2.767 -0.877 9.255
-3.230 -1.624 4.917
-5.122 -1.094 8.599
-2.012 -0.895 6.920
-8.748 -2.627 11.362
-4.765 -1.428 3.012

=====

20.
Mo2Ru2Au PBE-GGA relaxed; energy relative to the lowest polymorph listed for this composition = 0 meV per atom; formation energy from the elements = 0.147 eV per atom; VASP energy = -85.5 eV per cell; total magnetization = 0.0 μB per formula unit
1.0
-4.560 5.633 -1.831
-5.666 -4.822 -0.723
-0.660 0.362 2.757
Ru Au Mo
4 2 4
Cartesian
-2.687 -1.032 -0.508
-7.539 1.843 -2.046
-3.629 2.923 -1.252
-6.598 -2.112 -1.302
0.000 0.000 0.000
-5.113 0.405 -1.277
-8.096 -0.120 -0.440
-6.056 3.271 -0.397
-2.790 1.293 0.644
-4.830 -2.098 0.601

=====

21.
HfGeBiIr2N PBE-GGA relaxed; energy relative to the lowest polymorph listed for this composition = 360 meV per atom; E_form (uncorrected) = -0.1334 eV/atom; VASP energy = -45.3 eV per cell; total magnetization = 0.0 μB per formula unit
1.0
4.794 -0.011 -0.013
-2.016 4.411 0.020
-1.014 -1.835 5.117
Bi Hf N Ir Ge
1 1 1 2 1
Cartesian
0.352 1.324 0.145
-1.895 3.024 1.843
1.609 -0.491 2.946
2.859 0.178 1.450
2.203 1.329 3.841
-0.139 2.250 4.105

=====

22.
Mg3InRh PBE-GGA relaxed; energy relative to the lowest polymorph listed for this composition = 55 meV per atom; formation energy from the elements = -0.211 eV per atom; VASP energy = -31.9 eV per cell; total magnetization = 0.0 μB per formula unit
1.0
-0.937 5.680 -3.622
-5.232 -4.145 -1.307
0.206 0.712 6.528
In Mg Rh
2 6 2
Cartesian
-5.047 -1.979 -0.864
-0.916 4.226 2.462
-0.996 4.945 -1.349
-3.622 2.414 1.150
-2.959 2.282 -2.150
-2.341 -0.167 0.449
-3.004 -0.035 3.749
-4.967 -2.698 2.948
-4.448 0.695 -0.781
-1.515 1.552 2.379

=====

23.
CeEuHgRh PBE-GGA relaxed; formation energy from the elements = -0.395 eV per atom; VASP energy = -25.4 eV per cell; total magnetization = 7.6 μB per formula unit
1.0
-3.981 -1.516 2.964
-3.690 -3.064 -1.981
-0.361 -4.947 1.527
Rh Eu Ce Hg
1 1 1 1
Cartesian
0.000 0.000 0.000
-2.008 -2.382 0.628
-6.024 -7.146 1.883
-4.016 -4.764 1.255

=====

24.
MgZn3Re PBE-GGA relaxed; energy relative to the lowest polymorph listed for this composition = 0 meV per atom; formation energy from the elements = 0.786 eV per atom; VASP energy = -13.9 eV per cell; total magnetization = 0.0 μB per formula unit
1.0
-4.197 2.390 -0.066
-1.169 -1.934 4.270
2.086 3.726 2.259
Zn Re Mg
3 1 1
Cartesian
-0.585 -0.967 2.135
1.043 1.863 1.129
-2.099 1.195 -0.033
0.000 0.000 0.000
-1.640 2.091 3.231

=====

25.
RbGa2Ag2 PBE-GGA relaxed; energy relative to the lowest polymorph listed for this composition = 0 meV per atom; formation energy from the elements = -0.012 eV per atom; VASP energy = -12.8 eV per cell; total magnetization = 0.0 μB per formula unit
1.0
4.910 0.000 0.000
0.000 4.910 0.000
2.455 2.455 5.184
Ga Ag Rb
2 2 1
Cartesian
4.910 4.910 3.759
2.455 2.455 1.425
2.455 4.910 2.592
4.910 2.455 2.592
0.000 0.000 0.000

=====

26.
NaCu2TeI6 PBE-GGA relaxed; E_form (uncorrected) = -0.2595 eV/atom; VASP energy = -49.1 eV per cell; total magnetization = 0.0 μB per formula unit
1.0
-3.139 0.380 7.687
4.024 -7.644 4.652
6.897 4.634 5.218
I Cu Te Na
12 4 2 2
Cartesian
8.872 -3.826 9.755
2.968 2.431 8.414
2.982 -4.407 4.264
-1.089 1.196 7.801
6.519 -1.990 6.704
4.801 1.777 13.292
1.264 -0.640 10.853
5.018 -1.505 10.560
-0.096 -1.455 3.845
4.814 -5.061 9.143
7.879 -1.175 13.712
2.764 -1.125 6.996
5.478 -0.707 13.021
6.527 -3.121 9.075
2.304 -1.924 4.535
1.256 0.491 8.481
5.194 0.802 6.958
2.589 -3.432 10.598
4.305 3.902 10.936
3.478 -6.532 6.620